DFT (SCAN) results for a PBEsol-optimized structure of ScPt.

Results
The calculation puts the formation enthalpy at 0 K at -2.66 eV/f.u. The value obtained for the total magnetization is 0.0 μB/f.u.

Unit cell a=5.226 b=5.226 c=5.226 alpha=90.00 beta=90.00 gamma=90.00
Sites, in units of the cell vectors:
Sc: 0.086 0.086 0.086
Sc: 0.914 0.586 0.414
Sc: 0.586 0.414 0.914
Sc: 0.414 0.914 0.586
Pt: 0.919 0.081 0.581
Pt: 0.581 0.919 0.081
Pt: 0.081 0.581 0.919
Pt: 0.419 0.419 0.419



DFT (SCAN) results for a PBEsol-optimized structure of Sc3Pt4.

Results
The calculation puts the formation enthalpy at 0 K at -9.68 eV/f.u. The value obtained for the total magnetization is 0.0 μB/f.u.

Unit cell a=5.500 b=7.302 c=7.302 alpha=113.92 beta=104.54 gamma=104.54
Sites, in units of the cell vectors:
Sc: 0.901 0.132 0.391
Sc: 0.099 0.868 0.609
Sc: 0.770 0.259 0.868
Sc: 0.489 0.391 0.259
Sc: 0.230 0.741 0.132
Sc: 0.511 0.609 0.741
Pt: 0.952 0.527 0.690
Pt: 0.574 0.836 0.527
Pt: 0.426 0.164 0.473
Pt: 0.738 0.690 0.164
Pt: 0.000 0.000 0.000
Pt: 0.500 0.000 0.000
Pt: 0.048 0.473 0.310
Pt: 0.262 0.310 0.836



DFT (SCAN) results for a PBEsol-optimized structure of Sc5Pt4.

Results
The calculation puts the formation enthalpy at 0 K at -11.64 eV/f.u. The value obtained for the total magnetization is 0.0 μB/f.u.

Unit cell a=5.591 b=8.204 c=8.204 alpha=120.00 beta=90.00 gamma=90.00
Sites, in units of the cell vectors:
Sc: 0.250 0.716 0.716
Sc: 0.250 0.000 0.284
Sc: 0.000 0.667 0.333
Sc: 0.000 0.333 0.667
Sc: 0.500 0.333 0.667
Sc: 0.750 0.284 0.284
Sc: 0.500 0.667 0.333
Sc: 0.750 0.000 0.716
Sc: 0.250 0.284 0.000
Sc: 0.750 0.716 0.000
Pt: 0.250 0.000 0.607
Pt: 0.000 0.000 0.000
Pt: 0.250 0.607 0.000
Pt: 0.500 0.000 0.000
Pt: 0.750 0.000 0.393
Pt: 0.750 0.607 0.607
Pt: 0.250 0.393 0.393
Pt: 0.750 0.393 0.000



DFT (SCAN) results for a PBEsol-optimized structure of ScPt2.

Results
The calculation puts the formation enthalpy at 0 K at -3.94 eV/f.u. The value obtained for the total magnetization is 0.0 μB/f.u.

Unit cell a=3.940 b=3.940 c=12.624 alpha=98.98 beta=98.98 gamma=90.00
Sites, in units of the cell vectors:
Pt: 0.251 0.251 0.501
Pt: 0.667 0.167 0.333
Pt: 0.501 0.001 0.001
Pt: 0.749 0.749 0.499
Pt: 0.417 0.417 0.833
Pt: 0.833 0.333 0.667
Pt: 0.999 0.499 0.999
Pt: 0.583 0.583 0.167
Sc: 0.923 0.923 0.846
Sc: 0.327 0.827 0.654
Sc: 0.077 0.077 0.154
Sc: 0.173 0.673 0.346



DFT (SCAN) results for a PBEsol-optimized structure of ScPt.

Results
The calculation puts the formation enthalpy at 0 K at -2.91 eV/f.u. The value obtained for the total magnetization is 0.0 μB/f.u.

Unit cell a=3.152 b=3.336 c=3.287 alpha=90.00 beta=90.00 gamma=89.95
Sites, in units of the cell vectors:
Pt: 0.000 0.000 0.500
Sc: 0.500 0.500 0.000



DFT (SCAN) results for a PBEsol-optimized structure of Sc2Pt.

Results
The calculation puts the formation enthalpy at 0 K at -3.43 eV/f.u. The value obtained for the total magnetization is 0.0 μB/f.u.

Unit cell a=8.682 b=8.682 c=8.682 alpha=60.00 beta=60.00 gamma=60.00
Sites, in units of the cell vectors:
Sc: 0.065 0.435 0.065
Sc: 0.625 0.625 0.625
Sc: 0.625 0.125 0.625
Sc: 0.185 0.185 0.815
Sc: 0.815 0.185 0.815
Sc: 0.065 0.435 0.435
Sc: 0.815 0.185 0.185
Sc: 0.435 0.435 0.065
Sc: 0.065 0.065 0.435
Sc: 0.435 0.065 0.065
Sc: 0.815 0.815 0.185
Sc: 0.185 0.815 0.815
Sc: 0.435 0.065 0.435
Sc: 0.625 0.625 0.125
Sc: 0.125 0.625 0.625
Sc: 0.185 0.815 0.185
Pt: 0.409 0.772 0.409
Pt: 0.841 0.478 0.841
Pt: 0.409 0.409 0.772
Pt: 0.841 0.841 0.841
Pt: 0.772 0.409 0.409
Pt: 0.841 0.841 0.478
Pt: 0.409 0.409 0.409
Pt: 0.478 0.841 0.841



DFT (SCAN) results for a PBEsol-optimized structure of ScPt5.

Results
The calculation puts the formation enthalpy at 0 K at -3.99 eV/f.u. The value obtained for the total magnetization is 0.0 μB/f.u.

Unit cell a=4.513 b=4.870 c=4.870 alpha=120.00 beta=90.00 gamma=90.00
Sites, in units of the cell vectors:
Sc: 0.500 0.000 0.000
Pt: 0.000 0.000 0.656
Pt: 0.000 0.344 0.344
Pt: 0.500 0.667 0.333
Pt: 0.500 0.333 0.667
Pt: 0.000 0.656 0.000



DFT (SCAN) results for a PBEsol-optimized structure of ScPt3.

Results
The calculation puts the formation enthalpy at 0 K at -4.79 eV/f.u. The value obtained for the total magnetization is 0.0 μB/f.u.

Unit cell a=3.949 b=3.949 c=3.949 alpha=90.00 beta=90.00 gamma=90.00
Sites, in units of the cell vectors:
Pt: 0.500 0.000 0.500
Pt: 0.500 0.500 0.000
Pt: 0.000 0.500 0.500
Sc: 0.000 0.000 0.000



DFT (SCAN) results for a PBEsol-optimized structure of Sc2Pt.

Results
The calculation puts the formation enthalpy at 0 K at -3.20 eV/f.u. The value obtained for the total magnetization is 0.0 μB/f.u.

Unit cell a=3.508 b=5.850 c=6.262 alpha=90.01 beta=90.00 gamma=107.46
Sites, in units of the cell vectors:
Sc: 0.385 0.770 0.210
Sc: 0.065 0.130 0.524
Sc: 0.337 0.675 0.710
Sc: 0.657 0.315 0.024
Pt: 0.741 0.482 0.433
Pt: 0.981 0.962 0.933



DFT (SCAN) results for a PBEsol-optimized structure of ScPt4.

Results
The calculation puts the formation enthalpy at 0 K at -2.89 eV/f.u. The value obtained for the total magnetization is 0.0 μB/f.u.

Unit cell a=3.695 b=3.695 c=6.899 alpha=105.53 beta=105.53 gamma=90.00
Sites, in units of the cell vectors:
Pt: 0.250 0.750 0.500
Pt: 0.750 0.250 0.500
Pt: 0.597 0.597 0.194
Pt: 0.403 0.403 0.806
Sc: 0.000 0.000 0.000



DFT (SCAN) results for a PBEsol-optimized structure of ScPt3.

Results
The calculation puts the formation enthalpy at 0 K at -4.43 eV/f.u. The value obtained for the total magnetization is 0.0 μB/f.u.

Unit cell a=3.951 b=3.951 c=8.432 alpha=103.55 beta=103.55 gamma=90.00
Sites, in units of the cell vectors:
Pt: 0.750 0.250 0.500
Pt: 0.250 0.750 0.500
Pt: 0.877 0.877 0.754
Pt: 0.123 0.123 0.246
Pt: 0.000 0.500 0.000
Pt: 0.500 0.000 0.000
Sc: 0.625 0.625 0.251
Sc: 0.375 0.375 0.749



DFT (SCAN) results for a PBEsol-optimized structure of Sc2Pt.

Results
The calculation puts the formation enthalpy at 0 K at -3.63 eV/f.u. The value obtained for the total magnetization is 0.0 μB/f.u.

Unit cell a=4.460 b=6.491 c=8.158 alpha=90.00 beta=90.00 gamma=90.00
Sites, in units of the cell vectors:
Sc: 0.250 0.487 0.823
Sc: 0.750 0.013 0.323
Sc: 0.750 0.513 0.177
Sc: 0.250 0.850 0.077
Sc: 0.750 0.650 0.577
Sc: 0.250 0.987 0.677
Sc: 0.750 0.150 0.923
Sc: 0.250 0.350 0.423
Pt: 0.750 0.240 0.597
Pt: 0.250 0.260 0.097
Pt: 0.750 0.740 0.903
Pt: 0.250 0.760 0.403



DFT (SCAN) results for a PBEsol-optimized structure of Sc2PtSe.

Results
The value obtained for the total magnetization is 0.7 μB/f.u. The electronic total energy comes out at -31.023 eV/atom.

Unit cell a=3.325 b=3.325 c=6.553 alpha=90.00 beta=90.00 gamma=90.00
Site moments in Bohr magnetons follow the coordinates.
Sites, in units of the cell vectors:
Pt: 0.500 0.500 0.500  0.02
Se: 0.500 0.500 0.000  -0.02
Sc: 0.000 0.000 0.742  0.25
Sc: 0.000 0.000 0.258  0.25



DFT (SCAN) results for a PBEsol-optimized structure of ScPtSe.

Results
The value obtained for the total magnetization is 0.0 μB/f.u. The electronic total energy comes out at -35.908 eV/atom.

Unit cell a=3.491 b=4.216 c=4.216 alpha=120.00 beta=90.00 gamma=90.00
Sites, in units of the cell vectors:
Pt: 0.117 0.000 0.000
Se: 0.213 0.667 0.333
Sc: 0.669 0.333 0.667



DFT (SCAN) results for a PBEsol-optimized structure of ScPtSe.

Results
The value obtained for the total magnetization is 0.0 μB/f.u. The electronic total energy comes out at -35.596 eV/atom.

Unit cell a=3.352 b=3.352 c=5.947 alpha=90.00 beta=90.00 gamma=120.00
Sites, in units of the cell vectors:
Pt: 0.000 0.000 0.973
Sc: 0.667 0.333 0.674
Se: 0.333 0.667 0.353



DFT (SCAN) results for a PBEsol-optimized structure of Sc2SiPt.

Results
The value obtained for the total magnetization is 0.0 μB/f.u. The electronic total energy comes out at -28.342 eV/atom.

Unit cell a=3.465 b=4.118 c=5.337 alpha=90.00 beta=108.95 gamma=90.00
Sites, in units of the cell vectors:
Sc: 0.104 0.000 0.208
Sc: 0.396 0.500 0.793
Si: 0.827 0.000 0.654
Pt: 0.672 0.500 0.345



DFT (SCAN) results for a PBEsol-optimized structure of Sc5Si7Pt9.

Results
The value obtained for the total magnetization is 0.0 μB/f.u. The electronic total energy comes out at -38.115 eV/atom.

Unit cell a=3.867 b=9.903 c=9.903 alpha=120.00 beta=90.00 gamma=90.00
Sites, in units of the cell vectors:
Pt: 0.000 0.171 0.382
Pt: 0.500 0.282 0.064
Pt: 0.000 0.900 0.588
Pt: 0.000 0.687 0.100
Pt: 0.000 0.412 0.313
Pt: 0.000 0.618 0.789
Pt: 0.000 0.211 0.829
Pt: 0.500 0.936 0.219
Pt: 0.500 0.781 0.718
Si: 0.500 0.191 0.240
Si: 0.000 0.333 0.667
Si: 0.000 0.449 0.095
Si: 0.000 0.646 0.551
Si: 0.500 0.049 0.809
Si: 0.500 0.760 0.951
Si: 0.000 0.905 0.354
Sc: 0.500 0.104 0.563
Sc: 0.500 0.458 0.896
Sc: 0.500 0.667 0.333
Sc: 0.500 0.437 0.542
Sc: 0.000 0.000 0.000



DFT (SCAN) results for a PBEsol-optimized structure of Sc2SiPt.

Results
The value obtained for the total magnetization is 0.0 μB/f.u. The electronic total energy comes out at -27.431 eV/atom.

Unit cell a=4.085 b=4.085 c=9.541 alpha=102.36 beta=102.36 gamma=90.00
Sites, in units of the cell vectors:
Pt: 0.000 0.000 0.000
Pt: 0.250 0.750 0.500
Sc: 0.625 0.614 0.750
Sc: 0.386 0.875 0.250
Sc: 0.125 0.136 0.750
Sc: 0.864 0.375 0.250
Si: 0.500 0.500 0.000
Si: 0.750 0.250 0.500



DFT (SCAN) results for a PBEsol-optimized structure of Sc2SiPt.

Results
The value obtained for the total magnetization is 0.0 μB/f.u. The electronic total energy comes out at -28.169 eV/atom.

Unit cell a=3.071 b=4.762 c=4.762 alpha=102.46 beta=90.00 gamma=90.00
Sites, in units of the cell vectors:
Pt: 0.500 0.500 0.500
Si: 0.500 0.000 0.000
Sc: 0.000 0.500 0.000
Sc: 0.000 0.000 0.500



DFT (SCAN) results for a PBEsol-optimized structure of Sc2Si2Pt3.

Results
The value obtained for the total magnetization is 0.0 μB/f.u. The electronic total energy comes out at -38.410 eV/atom.

Unit cell a=4.024 b=6.322 c=8.651 alpha=90.00 beta=90.00 gamma=90.00
Sites, in units of the cell vectors:
Si: 0.500 0.076 0.151
Si: 0.500 0.924 0.849
Si: 0.500 0.424 0.651
Si: 0.500 0.576 0.349
Sc: 0.000 0.109 0.670
Sc: 0.000 0.391 0.170
Sc: 0.000 0.609 0.830
Sc: 0.000 0.891 0.330
Pt: 0.000 0.000 0.000
Pt: 0.500 0.691 0.086
Pt: 0.500 0.809 0.586
Pt: 0.500 0.309 0.914
Pt: 0.000 0.500 0.500
Pt: 0.500 0.191 0.414



DFT (SCAN) results for a PBEsol-optimized structure of ScSi2Pt.

Results
The value obtained for the total magnetization is 0.0 μB/f.u. The electronic total energy comes out at -26.975 eV/atom.

Unit cell a=4.007 b=4.007 c=5.208 alpha=67.37 beta=67.37 gamma=60.00
Sites, in units of the cell vectors:
Pt: 0.000 0.000 0.000
Sc: 0.500 0.500 0.500
Si: 0.277 0.277 0.169
Si: 0.723 0.723 0.831



DFT (SCAN) results for a PBEsol-optimized structure of Sc4Si2Pt7.

Results
The value obtained for the total magnetization is 0.0 μB/f.u. The electronic total energy comes out at -45.094 eV/atom.

Unit cell a=3.974 b=6.440 c=16.119 alpha=90.00 beta=90.00 gamma=90.00
Sites, in units of the cell vectors:
Sc: 0.000 0.713 0.539
Sc: 0.000 0.526 0.291
Sc: 0.000 0.287 0.461
Sc: 0.000 0.213 0.961
Sc: 0.000 0.787 0.039
Sc: 0.000 0.974 0.791
Sc: 0.000 0.474 0.709
Sc: 0.000 0.026 0.209
Si: 0.500 0.839 0.307
Si: 0.500 0.661 0.807
Si: 0.500 0.161 0.693
Si: 0.500 0.339 0.193
Pt: 0.500 0.214 0.333
Pt: 0.500 0.904 0.921
Pt: 0.500 0.404 0.579
Pt: 0.000 0.092 0.617
Pt: 0.000 0.592 0.883
Pt: 0.500 0.500 0.000
Pt: 0.500 0.096 0.079
Pt: 0.500 0.714 0.167
Pt: 0.500 0.000 0.500
Pt: 0.000 0.408 0.117
Pt: 0.500 0.786 0.667
Pt: 0.500 0.596 0.421
Pt: 0.500 0.286 0.833
Pt: 0.000 0.908 0.383